This record from Alexandria describes a geometry-optimized SrMg30CdO32 structure. The functional is PBE-GGA.

abc: 8.636 8.636 8.641
angles: 90.00 90.00 90.00
Fractional coordinates of all 64 atoms:
Sr (0.000, 0.000, 0.000)
Mg (0.000, 0.000, 0.500)
Mg (0.000, 0.255, 0.256)
Mg (0.000, 0.255, 0.744)
Mg (0.000, 0.500, 0.000)
Mg (0.000, 0.500, 0.500)
Mg (0.000, 0.745, 0.256)
Mg (0.000, 0.745, 0.744)
Mg (0.248, 0.500, 0.253)
Mg (0.248, 0.500, 0.747)
Mg (0.250, 0.250, 0.500)
Mg (0.250, 0.750, 0.500)
Mg (0.253, 0.253, 0.000)
Mg (0.253, 0.747, 0.000)
Mg (0.255, 0.000, 0.256)
Mg (0.255, 0.000, 0.744)
Mg (0.500, 0.000, 0.000)
Mg (0.500, 0.000, 0.500)
Mg (0.500, 0.248, 0.253)
Mg (0.500, 0.248, 0.747)
Mg (0.500, 0.500, 0.500)
Mg (0.500, 0.752, 0.253)
Mg (0.500, 0.752, 0.747)
Mg (0.745, 0.000, 0.256)
Mg (0.745, 0.000, 0.744)
Mg (0.747, 0.253, 0.000)
Mg (0.747, 0.747, 0.000)
Mg (0.750, 0.250, 0.500)
Mg (0.750, 0.750, 0.500)
Mg (0.752, 0.500, 0.253)
Mg (0.752, 0.500, 0.747)
Cd (0.500, 0.500, 0.000)
O (0.000, 0.000, 0.270)
O (0.000, 0.000, 0.730)
O (0.000, 0.253, 0.500)
O (0.000, 0.269, 0.000)
O (0.000, 0.500, 0.256)
O (0.000, 0.500, 0.744)
O (0.000, 0.731, 0.000)
O (0.000, 0.747, 0.500)
O (0.239, 0.500, 0.000)
O (0.249, 0.500, 0.500)
O (0.250, 0.250, 0.250)
O (0.250, 0.250, 0.750)
O (0.250, 0.750, 0.250)
O (0.250, 0.750, 0.750)
O (0.253, 0.000, 0.500)
O (0.269, 0.000, 0.000)
O (0.500, 0.000, 0.256)
O (0.500, 0.000, 0.744)
O (0.500, 0.239, 0.000)
O (0.500, 0.249, 0.500)
O (0.500, 0.500, 0.265)
O (0.500, 0.500, 0.735)
O (0.500, 0.751, 0.500)
O (0.500, 0.761, 0.000)
O (0.731, 0.000, 0.000)
O (0.747, 0.000, 0.500)
O (0.750, 0.250, 0.250)
O (0.750, 0.250, 0.750)
O (0.750, 0.750, 0.250)
O (0.750, 0.750, 0.750)
O (0.751, 0.500, 0.500)
O (0.761, 0.500, 0.000)

Values from the calculation:
Space group = No. 123
Total moment = 0.0 μB/f.u.
Formation energy (no corrections) = -16090 kJ/mol of formula units